Compound: YLuCuAu
Source: Alexandria via LeMat-Bulk
Functional: PBE
Structure: optimized geometry

Cell lengths 4.9702, 4.9702, 4.9702 Å; angles 60.00, 60.00, 60.00 degrees
Closest atoms and distances in Å follow each position.
Fractional coordinates of all 4 atoms:
Lu 0.2500 0.2500 0.2500  4 Cu 3.04, 4 Au 3.04
Au 0.5000 0.5000 0.5000  4 Y 3.04, 4 Lu 3.04
Cu 0.0000 0.0000 0.0000  4 Lu 3.04, 4 Y 3.04
Y 0.7500 0.7500 0.7500  4 Au 3.04, 4 Cu 3.04

## Properties
crystal system = cubic
ΔE_f = -0.56 eV per atom

=====

Compound: KAlCo2
Source: Alexandria via LeMat-Bulk
Functional: PBE
Structure: optimized geometry

Cell lengths 5.7769, 5.7769, 5.7769 Å; angles 153.30, 122.69, 64.31 degrees
Closest atoms and distances in Å follow each position.
Fractional coordinates of all 4 atoms:
Co 0.0452 0.0452 0.0000  2 Al 2.41, 2 Co 2.67
Co 0.4548 0.4548 0.0000  2 Al 2.41, 2 Co 2.67
K 0.7500 0.2500 0.5000  2 K 2.67
Al 0.2500 0.7500 0.5000  4 Co 2.41, 2 Al 2.67

## Properties
crystal system = orthorhombic
ΔE_f = 0.78 eV per atom

=====

Compound: CdNiSeBr2
Source: Alexandria via LeMat-Bulk
Functional: PBE
Structure: optimized geometry

Cell lengths 5.3324, 5.3324, 5.2878 Å; angles 90.00, 90.00, 90.00 degrees
Closest atoms and distances in Å follow each position.
Fractional coordinates of all 5 atoms:
Br 0.5000 0.0000 0.0000  2 Cd 2.67
Br 0.0000 0.5000 0.0000  2 Cd 2.67
Se 0.0000 0.0000 0.5000  2 Cd 2.64
Ni 0.5000 0.5000 0.5000  8 Br 3.75, 4 Se 3.77
Cd 0.0000 0.0000 0.0000  2 Se 2.64, 4 Br 2.67

## Properties
crystal system = tetragonal
energy above the lowest structure with this stoichiometry = 565 meV per atom
ΔE_f (raw) = 0.55 eV/atom

=====

Compound: ZnAg5
Source: Alexandria via LeMat-Bulk
Functional: PBE
Structure: optimized geometry

Cell lengths 11.8160, 2.9657, 2.9657 Å; angles 90.00, 90.00, 90.00 degrees
Closest atoms and distances in Å follow each position.
Fractional coordinates of all 6 atoms:
Ag 0.5061 0.5000 0.5000  12 Ag 2.93-2.97
Ag 0.6802 0.0000 0.0000  4 Zn 2.77, 8 Ag 2.94-2.97
Ag 0.9864 0.0000 0.0000  4 Zn 2.77, 8 Ag 2.94-2.97
Ag 0.1605 0.5000 0.5000  12 Ag 2.93-2.97
Ag 0.3333 0.0000 0.0000  12 Ag 2.93-2.97
Zn 0.8333 0.5000 0.5000  8 Ag 2.77, 4 Zn 2.97

## Properties
crystal system = tetragonal
ΔE_f = 0.00 eV per atom
energy above the lowest structure with this stoichiometry = 0 meV per atom

=====

Compound: CaPr5Sm4
Source: Alexandria via LeMat-Bulk
Functional: PBE
Structure: optimized geometry

Cell lengths 3.6957, 3.6957, 26.1848 Å; angles 90.00, 90.00, 90.00 degrees
Closest atoms and distances in Å follow each position.
Fractional coordinates of all 10 atoms:
Ca 0.0000 0.0000 0.0000  4 Ca 3.70, 8 Pr 3.84
Sm 0.0000 0.0000 0.2032  8 Pr 3.62-3.70, 4 Sm 3.70
Sm 0.0000 0.0000 0.4013  8 Pr 3.66-3.68, 4 Sm 3.70
Sm 0.0000 0.0000 0.5987  8 Pr 3.66-3.68, 4 Sm 3.70
Sm 0.0000 0.0000 0.7968  8 Pr 3.62-3.70, 4 Sm 3.70
Pr 0.5000 0.5000 0.1077  4 Sm 3.62, 4 Pr 3.70, 4 Ca 3.84
Pr 0.5000 0.5000 0.6968  8 Sm 3.66-3.70, 4 Pr 3.70
Pr 0.5000 0.5000 0.3032  8 Sm 3.66-3.70, 4 Pr 3.70
Pr 0.5000 0.5000 0.5000  8 Sm 3.68, 4 Pr 3.70
Pr 0.5000 0.5000 0.8923  4 Sm 3.62, 4 Pr 3.70, 4 Ca 3.84

## Properties
crystal system = tetragonal
ΔE_f = 0.02 eV per atom

=====

Compound: CrAuCl2
Source: Alexandria via LeMat-Bulk
Functional: PBE
Structure: optimized geometry

Cell lengths 4.6594, 4.6594, 3.5648 Å; angles 90.00, 90.00, 90.01 degrees
Closest atoms and distances in Å follow each position.
Fractional coordinates of all 4 atoms:
Cl 0.5000 0.5000 0.0000  4 Au 2.93, 4 Cr 2.93
Cl 0.0000 0.0000 0.0000  4 Cr 2.93, 4 Au 2.93
Cr 0.5000 0.0000 0.5000  8 Cl 2.93
Au 0.0000 0.5000 0.5000  8 Cl 2.93

## Properties
crystal system = tetragonal
energy above the lowest structure with this stoichiometry = 556 meV per atom
ΔE_f (raw) = 0.15 eV/atom

=====

Compound: CrNi2
Source: Alexandria via LeMat-Bulk
Functional: PBE
Structure: optimized geometry

Cell lengths 4.0209, 4.0209, 4.9329 Å; angles 90.00, 90.00, 120.00 degrees
Closest atoms and distances in Å follow each position.
Fractional coordinates of all 6 atoms:
Ni 0.0000 0.0000 0.5000  8 Ni 2.47-2.63, 6 Cr 2.63
Ni 0.6667 0.3333 0.2500  5 Cr 2.32-2.47
Ni 0.0000 0.0000 0.0000  8 Ni 2.47-2.63, 6 Cr 2.63
Ni 0.3333 0.6667 0.7500  5 Cr 2.32-2.47
Cr 0.6667 0.3333 0.7500  5 Ni 2.32-2.47
Cr 0.3333 0.6667 0.2500  5 Ni 2.32-2.47

## Properties
crystal system = hexagonal
ΔE_f = 0.15 eV per atom

=====

Compound: SrCa2SiIr
Source: Alexandria via LeMat-Bulk
Functional: PBE
Structure: optimized geometry

Cell lengths 5.6080, 5.6080, 4.7035 Å; angles 90.00, 90.00, 90.00 degrees
Closest atoms and distances in Å follow each position.
Fractional coordinates of all 5 atoms:
Ir 0.0000 0.0000 0.0000  2 Si 2.35
Ca 0.5000 0.0000 0.0000  2 Ir 2.80
Ca 0.0000 0.5000 0.0000  2 Ir 2.80
Si 0.0000 0.0000 0.5000  2 Ir 2.35
Sr 0.5000 0.5000 0.5000  8 Ca 3.66, 4 Si 3.97

## Properties
crystal system = tetragonal
ΔE_f (raw) = -0.27 eV/atom